DFT (GGA-PBE) results for CaNbNF2 after structural relaxation.

Computed properties:
Uncorrected formation energy, eV/atom: -1.6928
Polymorph energy (0 for the lowest one), eV/f.u.: 0.00
D(E_F), states/eV/cell: 2.9

a = 4.2983 Å, b = 4.2983 Å, c = 4.1218 Å
α = 90.00°, β = 90.00°, γ = 90.00°
Each line ends with the local moment (μB).
Element x y z (fractional)
N: 0.0000 0.0000 0.5000  -0.06
F: 0.5000 0.0000 0.0000  0.05
Nb: 0.0000 0.0000 0.0000  1.14
Ca: 0.5000 0.5000 0.5000  0.04
F: 0.0000 0.5000 0.0000  0.05